Entry from the Open Quantum Materials Database: a relaxed Pr2Y2CI2Cl3 crystal (PBE-GGA).

Unit cell a=9.2517 b=9.2517 c=8.1231 alpha=100.94 beta=100.94 gamma=24.31
Fractional positions:
Pr (0.1423, 0.1423, 0.0640)
Pr (0.8577, 0.8577, 0.9360)
Y (0.4968, 0.4968, 0.2048)
Y (0.5032, 0.5032, 0.7952)
C (0.0000, 0.0000, 0.0000)
I (0.3356, 0.3356, 0.6288)
I (0.6644, 0.6644, 0.3712)
Cl (0.0000, 0.0000, 0.5000)
Cl (0.3386, 0.3386, 0.1842)
Cl (0.6614, 0.6614, 0.8158)

Output
Theoretical density (g/cm³): 4.9
E above lowest polymorph (eV per atom): 0.039

Entry from the Open Quantum Materials Database: a relaxed TbNdSi2 crystal (PBE-GGA).

Unit cell a=3.8983 b=5.8300 c=8.1125 alpha=90.00 beta=90.00 gamma=90.00
Fractional positions:
Tb (0.0000, 0.1352, 0.0000)
Tb (0.0000, 0.8648, 0.5000)
Nd (0.5000, 0.3641, 0.3589)
Nd (0.5000, 0.6359, 0.8589)
Si (0.0000, 0.3718, 0.6441)
Si (0.0000, 0.6282, 0.1441)
Si (0.5000, 0.1222, 0.7168)
Si (0.5000, 0.8778, 0.2168)

Output
Theoretical density (g/cm³): 6.5
E above lowest polymorph (eV per atom): 0.005

Entry from the Open Quantum Materials Database: a relaxed ZnP crystal (PBE-GGA).

Unit cell a=4.8900 b=3.8563 c=7.0660 alpha=90.00 beta=90.00 gamma=90.00
Fractional positions:
Zn (0.0000, 0.0000, 0.0000)
Zn (0.2500, 0.5000, 0.2735)
Zn (0.5000, 0.0000, 0.0000)
Zn (0.7500, 0.5000, 0.7265)
P (0.2500, 0.0000, 0.4645)
P (0.2500, 0.5000, 0.8279)
P (0.7500, 0.0000, 0.5355)
P (0.7500, 0.5000, 0.1721)

Output
Theoretical density (g/cm³): 4.8
Calculated total energy (eV/cell): -25.0

Entry from the Open Quantum Materials Database: a relaxed LiScCuB crystal (PBE-GGA).

Unit cell a=5.9260 b=5.9260 c=5.9260 alpha=90.00 beta=90.00 gamma=90.00
Fractional positions:
Li (0.0000, 0.0000, 0.0000)
Li (0.0000, 0.5000, 0.5000)
Li (0.5000, 0.0000, 0.5000)
Li (0.5000, 0.5000, 0.0000)
Sc (0.0000, 0.0000, 0.5000)
Sc (0.0000, 0.5000, 0.0000)
Sc (0.5000, 0.0000, 0.0000)
Sc (0.5000, 0.5000, 0.5000)
Cu (0.2500, 0.2500, 0.2500)
Cu (0.2500, 0.7500, 0.7500)
Cu (0.7500, 0.2500, 0.7500)
Cu (0.7500, 0.7500, 0.2500)
B (0.2500, 0.2500, 0.7500)
B (0.2500, 0.7500, 0.2500)
B (0.7500, 0.2500, 0.2500)
B (0.7500, 0.7500, 0.7500)

Output
Theoretical density (g/cm³): 4.0
E above lowest polymorph (eV per atom): 0.163

Entry from the Open Quantum Materials Database: a relaxed BeZnSi2P4 crystal (PBE-GGA).

Unit cell a=5.2631 b=5.2631 c=10.3902 alpha=90.00 beta=90.00 gamma=90.00
Fractional positions:
Be (0.0000, 0.0000, 0.0000)
Be (0.5000, 0.5000, 0.5000)
Zn (0.0000, 0.5000, 0.7500)
Zn (0.5000, 0.0000, 0.2500)
Si (0.0000, 0.0000, 0.5000)
Si (0.0000, 0.5000, 0.2500)
Si (0.5000, 0.0000, 0.7500)
Si (0.5000, 0.5000, 0.0000)
P (0.2358, 0.2515, 0.1191)
P (0.2485, 0.7358, 0.3809)
P (0.2515, 0.7642, 0.8809)
P (0.2642, 0.2485, 0.6191)
P (0.7358, 0.7515, 0.6191)
P (0.7485, 0.2358, 0.8809)
P (0.7515, 0.2642, 0.3809)
P (0.7642, 0.7485, 0.1191)

Output
Theoretical density (g/cm³): 2.9
Calculated total energy (eV/cell): -80.3

Entry from the Open Quantum Materials Database: a relaxed Ta2Sn2Au crystal (PBE-GGA).

Unit cell a=3.9809 b=3.9809 c=13.6536 alpha=90.00 beta=90.00 gamma=90.00
Fractional positions:
Ta (0.0000, 0.0000, 0.0926)
Ta (0.0000, 0.0000, 0.9074)
Ta (0.5000, 0.5000, 0.4074)
Ta (0.5000, 0.5000, 0.5926)
Sn (0.0000, 0.5000, 0.2500)
Sn (0.0000, 0.5000, 0.7500)
Sn (0.5000, 0.0000, 0.2500)
Sn (0.5000, 0.0000, 0.7500)
Au (0.0000, 0.0000, 0.5000)
Au (0.5000, 0.5000, 0.0000)

Output
Theoretical density (g/cm³): 12.2
Calculated total energy (eV/cell): -64.8

Entry from the Open Quantum Materials Database: a relaxed Sr2SnHg crystal (PBE-GGA).

Unit cell a=8.0190 b=8.0190 c=8.0190 alpha=90.00 beta=90.00 gamma=90.00
Fractional positions:
Sr (0.0000, 0.0000, 0.0000)
Sr (0.0000, 0.5000, 0.5000)
Sr (0.2500, 0.2500, 0.2500)
Sr (0.2500, 0.7500, 0.7500)
Sr (0.5000, 0.0000, 0.5000)
Sr (0.5000, 0.5000, 0.0000)
Sr (0.7500, 0.2500, 0.7500)
Sr (0.7500, 0.7500, 0.2500)
Sn (0.2500, 0.2500, 0.7500)
Sn (0.2500, 0.7500, 0.2500)
Sn (0.7500, 0.2500, 0.2500)
Sn (0.7500, 0.7500, 0.7500)
Hg (0.0000, 0.0000, 0.5000)
Hg (0.0000, 0.5000, 0.0000)
Hg (0.5000, 0.0000, 0.0000)
Hg (0.5000, 0.5000, 0.5000)

Output
Theoretical density (g/cm³): 6.4
E above lowest polymorph (eV per atom): 0.411

Entry from the Open Quantum Materials Database: a relaxed RbZrTc crystal (PBE-GGA).

Unit cell a=6.7359 b=6.7359 c=6.7359 alpha=90.00 beta=90.00 gamma=90.00
Fractional positions:
Rb (0.0000, 0.0000, 0.0000)
Rb (0.0000, 0.5000, 0.5000)
Rb (0.5000, 0.0000, 0.5000)
Rb (0.5000, 0.5000, 0.0000)
Zr (0.2500, 0.2500, 0.2500)
Zr (0.2500, 0.7500, 0.7500)
Zr (0.7500, 0.2500, 0.7500)
Zr (0.7500, 0.7500, 0.2500)
Tc (0.2500, 0.2500, 0.7500)
Tc (0.2500, 0.7500, 0.2500)
Tc (0.7500, 0.2500, 0.2500)
Tc (0.7500, 0.7500, 0.7500)

Output
Theoretical density (g/cm³): 6.0
E above lowest polymorph (eV per atom): 1.028

Entry from the Open Quantum Materials Database: a relaxed Er2In4CuPd crystal (PBE-GGA).

Unit cell a=7.3159 b=4.4797 c=10.6093 alpha=90.00 beta=90.00 gamma=90.00
Fractional positions:
Er (0.0000, 0.0000, 0.0000)
Er (0.0000, 0.5000, 0.5000)
Er (0.5000, 0.0000, 0.1493)
Er (0.5000, 0.5000, 0.6493)
In (0.1999, 0.0000, 0.7113)
In (0.1999, 0.5000, 0.2113)
In (0.2936, 0.0000, 0.4382)
In (0.2936, 0.5000, 0.9382)
In (0.7064, 0.0000, 0.4382)
In (0.7064, 0.5000, 0.9382)
In (0.8001, 0.0000, 0.7113)
In (0.8001, 0.5000, 0.2113)
Cu (0.0000, 0.0000, 0.2811)
Cu (0.0000, 0.5000, 0.7811)
Pd (0.5000, 0.0000, 0.8694)
Pd (0.5000, 0.5000, 0.3694)

Output
Theoretical density (g/cm³): 9.2
Calculated total energy (eV/cell): -65.6

Entry from the Open Quantum Materials Database: a relaxed LaTc4P2 crystal (PBE-GGA).

Unit cell a=4.0981 b=13.9247 c=4.0495 alpha=90.00 beta=90.00 gamma=90.00
Fractional positions:
La (0.0000, 0.0000, 0.0000)
La (0.5000, 0.5000, 0.0000)
Tc (0.0000, 0.1857, 0.5000)
Tc (0.0000, 0.3059, 0.0000)
Tc (0.0000, 0.6941, 0.0000)
Tc (0.0000, 0.8143, 0.5000)
Tc (0.5000, 0.1941, 0.0000)
Tc (0.5000, 0.3143, 0.5000)
Tc (0.5000, 0.6857, 0.5000)
Tc (0.5000, 0.8059, 0.0000)
P (0.0000, 0.4077, 0.5000)
P (0.0000, 0.5923, 0.5000)
P (0.5000, 0.0923, 0.5000)
P (0.5000, 0.9077, 0.5000)

Output
Theoretical density (g/cm³): 8.5
Calculated total energy (eV/cell): -124.4

Entry from the Open Quantum Materials Database: a relaxed TlGeTeAuS2 crystal (PBE-GGA).

Unit cell a=8.3774 b=8.3774 c=10.7705 alpha=90.00 beta=90.00 gamma=155.55
Fractional positions:
Tl (0.2265, 0.7735, 0.7500)
Tl (0.7735, 0.2265, 0.2500)
Ge (0.5000, 0.5000, 0.0000)
Ge (0.5000, 0.5000, 0.5000)
Te (0.4473, 0.5527, 0.2500)
Te (0.5527, 0.4473, 0.7500)
Au (0.1169, 0.8831, 0.2500)
Au (0.8831, 0.1169, 0.7500)
S (0.1090, 0.8910, 0.0327)
S (0.1090, 0.8910, 0.4673)
S (0.8910, 0.1090, 0.5327)
S (0.8910, 0.1090, 0.9673)

Output
Theoretical density (g/cm³): 7.1
Calculated total energy (eV/cell): -44.7

Entry from the Open Quantum Materials Database: a relaxed HfAgTe crystal (PBE-GGA).

Unit cell a=6.6822 b=6.6822 c=6.6822 alpha=90.00 beta=90.00 gamma=90.00
Fractional positions:
Hf (0.0000, 0.0000, 0.0000)
Hf (0.0000, 0.5000, 0.5000)
Hf (0.5000, 0.0000, 0.5000)
Hf (0.5000, 0.5000, 0.0000)
Ag (0.0000, 0.0000, 0.5000)
Ag (0.0000, 0.5000, 0.0000)
Ag (0.5000, 0.0000, 0.0000)
Ag (0.5000, 0.5000, 0.5000)
Te (0.2500, 0.2500, 0.2500)
Te (0.2500, 0.7500, 0.7500)
Te (0.7500, 0.2500, 0.7500)
Te (0.7500, 0.7500, 0.2500)

Output
Theoretical density (g/cm³): 9.2
Calculated total energy (eV/cell): -60.0